(1)
{"formula": "Cr2TcPt", "functional": "PBE-GGA", "state": "optimized geometry", "lattice": [[4.3011, 0.0000, 0.0000], [2.1506, 3.7249, 0.0000], [2.1506, 1.2416, 3.5118]], "species": ["Tc", "Cr", "Cr", "Pt"], "fractional_positions": [[0.2500, 0.2500, 0.2500], [0.0000, 0.0000, 0.0000], [0.7500, 0.7500, 0.7500], [0.5000, 0.5000, 0.5000]], "total_energy_ev_per_atom": -8.697, "e_form_ev_per_atom": 0.216, "space_group": "F-43m"}



(2)
{"formula": "Co2TePt", "functional": "PBE-GGA", "state": "optimized geometry", "lattice": [[-0.7516, 2.6305, -1.8431], [-2.2419, 0.9253, 2.2359], [3.8440, 2.9448, 2.6354]], "species": ["Co", "Co", "Pt", "Te"], "fractional_positions": [[0.0000, 0.0000, 0.0129], [0.0000, 0.0000, 0.4871], [0.5000, 0.5000, 0.2500], [0.5000, 0.5000, 0.7500]], "total_energy_ev_per_atom": -5.581, "space_group": "P4/mmm", "formation_energy_uncorrected_kj_per_mol_fu": 103}



Please write out number 1 again, unchanged.
{"formula": "Cr2TcPt", "functional": "PBE-GGA", "state": "optimized geometry", "lattice": [[4.3011, 0.0000, 0.0000], [2.1506, 3.7249, 0.0000], [2.1506, 1.2416, 3.5118]], "species": ["Tc", "Cr", "Cr", "Pt"], "fractional_positions": [[0.2500, 0.2500, 0.2500], [0.0000, 0.0000, 0.0000], [0.7500, 0.7500, 0.7500], [0.5000, 0.5000, 0.5000]], "total_energy_ev_per_atom": -8.697, "e_form_ev_per_atom": 0.216, "space_group": "F-43m"}